(1)
The following is a GGA+U calculation of crystalline Gd2DyCo2B2O3 at its relaxed geometry, from the Open Quantum Materials Database.

Results
The calculation puts the total DFT energy (no corrections) at -68.921 eV for the cell shown. The symmetry is I4/mmm. The spin magnetization comes out at 0.02 μB/cell.

Lattice parameters (Å, degrees): 11.072 11.072 11.072 162.24 162.24 25.21
Sites, in units of the cell vectors:
Gd 0.137 0.137 0.000
Gd 0.863 0.863 0.000
Dy 0.500 0.500 0.000
Co 0.250 0.750 0.500
Co 0.750 0.250 0.500
B 0.289 0.289 0.000
B 0.711 0.711 0.000
O 0.000 0.000 0.000
O 0.398 0.398 0.000
O 0.602 0.602 0.000

(2)
The following is a GGA+U calculation of crystalline Y2CoTe2S2O14 at its relaxed geometry, from the Open Quantum Materials Database.

Results
The calculation puts the total DFT energy (no corrections) at -141.086 eV for the cell shown. The symmetry is P-1. The spin magnetization comes out at 3.00 μB/cell.

Lattice parameters (Å, degrees): 5.214 7.724 7.993 63.65 73.11 85.46
Sites, in units of the cell vectors:
Y 0.072 0.252 0.017
Y 0.928 0.748 0.983
Co 0.000 0.000 0.500
Te 0.496 0.732 0.651
Te 0.504 0.268 0.349
S 0.245 0.748 0.255
S 0.755 0.252 0.745
O 0.115 0.582 0.260
O 0.132 0.766 0.439
O 0.186 0.922 0.087
O 0.252 0.562 0.891
O 0.263 0.936 0.662
O 0.272 0.192 0.248
O 0.463 0.273 0.775
O 0.537 0.727 0.225
O 0.728 0.808 0.752
O 0.737 0.064 0.338
O 0.748 0.438 0.109
O 0.814 0.078 0.913
O 0.868 0.234 0.561
O 0.885 0.418 0.740